Entry 1:
Crystalline Sr12Cd3Cl5 at its relaxed geometry, computed with PBE.

Geometry as extended XYZ:
```
80
Lattice="-9.380 9.380 9.380 9.380 -9.380 9.380 9.380 9.380 -9.380" Properties=species:S:1:pos:R:3 pbc="T T T"
Sr 2.889 -0.475 1.254
Sr 11.180 5.944 -5.165
Sr 8.905 -1.254 2.889
Sr 14.544 -1.800 3.436
Sr 12.269 0.475 1.254
Sr 11.180 -3.436 5.165
Sr 1.254 2.889 -0.475
Sr 12.815 4.215 -1.800
Sr 5.944 5.165 -1.800
Sr 8.125 2.889 0.475
Sr -0.475 1.254 2.889
Sr 5.165 -1.800 5.944
Sr 8.905 8.125 -2.889
Sr 5.165 1.800 3.436
Sr 8.125 -2.889 8.905
Sr 5.944 -5.165 11.180
Sr 3.436 5.165 1.800
Sr 10.634 6.490 0.475
Sr 2.889 8.905 -1.254
Sr 11.180 3.436 4.215
Sr 5.165 11.180 -3.436
Sr 8.905 1.254 6.490
Sr 1.800 3.436 5.165
Sr 2.889 0.475 8.125
Sr 6.490 8.905 1.254
Sr 7.579 5.944 4.215
Sr 0.475 8.125 2.889
Sr 4.215 -1.800 12.815
Sr -1.800 5.944 5.165
Sr 6.490 0.475 10.634
Sr -1.254 2.889 8.905
Sr 5.944 4.215 7.579
Sr 3.436 14.544 -1.800
Sr 1.254 12.269 0.475
Sr 4.215 7.579 5.944
Sr 0.475 1.254 12.269
Sr 4.215 11.180 3.436
Sr 9.854 8.125 6.490
Sr 1.254 6.490 8.905
Sr 3.436 4.215 11.180
Sr -3.436 5.165 11.180
Sr 8.125 6.490 9.854
Sr -1.800 12.815 4.215
Sr -2.889 8.905 8.125
Sr -5.165 11.180 5.944
Sr 0.475 10.634 6.490
Sr -1.800 3.436 14.544
Sr 6.490 9.854 8.125
Cd 4.690 2.345 0.000
Cd 9.380 4.690 -2.345
Cd 2.345 0.000 4.690
Cd 11.725 0.000 4.690
Cd 0.000 4.690 2.345
Cd 4.690 -2.345 9.380
Cd 4.690 11.725 0.000
Cd 9.380 4.690 7.035
Cd -2.345 9.380 4.690
Cd 7.035 9.380 4.690
Cd 0.000 4.690 11.725
Cd 4.690 7.035 9.380
Cl 0.000 0.000 0.000
Cl 4.690 4.690 -4.690
Cl 4.690 -4.690 4.690
Cl 9.380 0.000 0.000
Cl 14.069 2.345 0.000
Cl 9.380 -4.690 7.035
Cl 7.035 9.380 -4.690
Cl 7.035 0.000 4.690
Cl 4.690 7.035 0.000
Cl 9.380 4.690 2.345
Cl -4.690 4.690 4.690
Cl 0.000 9.380 0.000
Cl 0.000 0.000 9.380
Cl 4.690 4.690 4.690
Cl 0.000 4.690 7.035
Cl 4.690 2.345 9.380
Cl 2.345 9.380 4.690
Cl 2.345 0.000 14.069
Cl 0.000 14.069 2.345
Cl -4.690 7.035 9.380
```

- Total energy: -2.479 eV per atom
- Fermi-level density of states: 64.2 states/eV per cell
- SG: Ia-3d, No. 230

=====

Entry 2:
Crystalline Sr2CdCl at its relaxed geometry, computed with PBE.

Geometry as extended XYZ:
```
12
Lattice="4.292 0.000 0.000 -2.146 3.717 0.000 0.000 0.000 26.477" Properties=species:S:1:pos:R:3 pbc="T T T"
Sr 0.000 0.000 0.000
Sr 0.000 0.000 4.417
Sr 0.000 2.478 17.652
Sr 0.000 2.478 22.069
Sr 2.146 1.239 8.826
Sr 2.146 1.239 13.243
Cd 0.000 0.000 15.448
Cd 0.000 2.478 6.622
Cd 2.146 1.239 24.274
Cl 0.000 0.000 19.986
Cl 0.000 2.478 11.160
Cl 2.146 1.239 2.334
```

- Total energy: -2.450 eV per atom
- Fermi-level density of states: 9.5 states/eV per cell
- Energy relative to the lowest polymorph listed for this composition: 76 meV/atom
- SG: R3m, No. 160

=====

Entry 3:
Crystalline SrCdCl at its relaxed geometry, computed with PBE.

Geometry as extended XYZ:
```
12
Lattice="7.343 0.000 0.000 0.000 7.343 0.000 0.000 0.000 7.343" Properties=species:S:1:pos:R:3 pbc="T T T"
Sr 0.000 0.000 0.000
Sr 0.000 3.671 3.671
Sr 3.671 0.000 3.671
Sr 3.671 3.671 0.000
Cd 0.000 0.000 3.671
Cd 0.000 3.671 0.000
Cd 3.671 0.000 0.000
Cd 3.671 3.671 3.671
Cl 1.836 1.836 5.507
Cl 1.836 5.507 1.836
Cl 5.507 1.836 1.836
Cl 5.507 5.507 5.507
```

- Total energy: -2.309 eV per atom
- Fermi-level density of states: 6.6 states/eV per cell
- Energy relative to the lowest polymorph listed for this composition: 223 meV/atom
- SG: F-43m, No. 216

=====

Entry 4:
Crystalline SrCd3Cl at its relaxed geometry, computed with PBE.

Geometry as extended XYZ:
```
5
Lattice="6.580 0.000 0.000 0.000 6.580 0.000 0.000 0.000 6.580" Properties=species:S:1:pos:R:3 pbc="T T T"
Sr 0.000 0.000 0.000
Cd 0.000 0.000 3.290
Cd 0.000 3.290 0.000
Cd 3.290 0.000 0.000
Cl 3.290 3.290 3.290
```

- Total energy: -1.068 eV per atom
- Fermi-level density of states: 2.1 states/eV per cell
- Energy relative to the lowest polymorph listed for this composition: 219 meV/atom
- SG: Pm-3m, No. 221

=====

Entry 5:
Crystalline SrCdCl at its relaxed geometry, computed with PBE.

Geometry as extended XYZ:
```
12
Lattice="5.416 0.000 0.000 0.000 5.441 0.000 0.000 0.000 14.235" Properties=species:S:1:pos:R:3 pbc="T T T"
Sr 0.000 0.000 0.000
Sr 0.000 2.721 7.118
Sr 2.708 0.000 7.118
Sr 2.708 2.721 0.000
Cd 0.000 0.000 9.345
Cd 0.000 2.721 2.227
Cd 2.708 0.000 2.227
Cd 2.708 2.721 9.345
Cl 0.000 0.000 5.756
Cl 0.000 2.721 12.874
Cl 2.708 0.000 12.874
Cl 2.708 2.721 5.756
```

- Total energy: -2.516 eV per atom
- Fermi-level density of states: 3.0 states/eV per cell
- Energy relative to the lowest polymorph listed for this composition: 17 meV/atom
- SG: Fmm2, No. 42

=====

Entry 6:
Crystalline Sr4Cd2Cl at its relaxed geometry, computed with PBE.

Geometry as extended XYZ:
```
14
Lattice="5.749 0.000 0.000 0.000 5.749 0.000 0.000 0.000 16.809" Properties=species:S:1:pos:R:3 pbc="T T T"
Sr 0.000 0.000 3.246
Sr 0.000 0.000 13.563
Sr 0.000 2.875 0.000
Sr 0.000 2.875 8.405
Sr 2.875 0.000 0.000
Sr 2.875 0.000 8.405
Sr 2.875 2.875 5.158
Sr 2.875 2.875 11.651
Cd 0.000 0.000 6.528
Cd 0.000 0.000 10.282
Cd 2.875 2.875 1.877
Cd 2.875 2.875 14.932
Cl 0.000 0.000 0.000
Cl 2.875 2.875 8.405
```

- Total energy: -2.030 eV per atom
- Fermi-level density of states: 18.0 states/eV per cell
- SG: I4/mmm, No. 139

=====

Entry 7:
Crystalline Sr3CdCl at its relaxed geometry, computed with PBE.

Geometry as extended XYZ:
```
5
Lattice="5.785 0.000 0.000 0.000 5.785 0.000 0.000 0.000 5.785" Properties=species:S:1:pos:R:3 pbc="T T T"
Sr 0.000 0.000 2.893
Sr 0.000 2.893 0.000
Sr 2.893 0.000 0.000
Cd 2.893 2.893 2.893
Cl 0.000 0.000 0.000
```

- Total energy: -2.156 eV per atom
- Fermi-level density of states: 9.6 states/eV per cell
- Energy relative to the lowest polymorph listed for this composition: 0 meV/atom
- SG: Pm-3m, No. 221

=====

Entry 8:
Crystalline Sr3Cd5Cl12 at its relaxed geometry, computed with PBE.

Geometry as extended XYZ:
```
80
Lattice="-8.625 8.625 8.625 8.625 -8.625 8.625 8.625 8.625 -8.625" Properties=species:S:1:pos:R:3 pbc="T T T"
Sr 4.313 2.156 0.000
Sr 8.625 4.313 -2.156
Sr 2.156 0.000 4.313
Sr 10.781 0.000 4.313
Sr 0.000 4.313 2.156
Sr 4.313 -2.156 8.625
Sr 4.313 10.781 0.000
Sr 8.625 4.313 6.469
Sr -2.156 8.625 4.313
Sr 6.469 8.625 4.313
Sr 0.000 4.313 10.781
Sr 4.313 6.469 8.625
Cd 0.000 0.000 0.000
Cd 4.313 4.313 -4.313
Cd 4.313 -4.313 4.313
Cd 8.625 0.000 0.000
Cd 12.938 2.156 0.000
Cd 8.625 -4.313 6.469
Cd 6.469 8.625 -4.313
Cd 6.469 0.000 4.313
Cd 4.313 6.469 0.000
Cd 8.625 4.313 2.156
Cd -4.313 4.313 4.313
Cd 0.000 8.625 0.000
Cd 0.000 0.000 8.625
Cd 4.313 4.313 4.313
Cd 0.000 4.313 6.469
Cd 4.313 2.156 8.625
Cd 2.156 8.625 4.313
Cd 2.156 0.000 12.938
Cd 0.000 12.938 2.156
Cd -4.313 6.469 8.625
Cl 2.902 -0.461 1.230
Cl 10.035 5.543 -4.774
Cl 8.164 -1.230 2.902
Cl 13.399 -1.410 3.082
Cl 11.527 0.461 1.230
Cl 10.035 -3.082 4.774
Cl 1.230 2.902 -0.461
Cl 11.707 3.851 -1.410
Cl 5.543 4.774 -1.410
Cl 7.395 2.902 0.461
Cl -0.461 1.230 2.902
Cl 4.774 -1.410 5.543
Cl 8.164 7.395 -2.902
Cl 4.774 1.410 3.082
Cl 7.395 -2.902 8.164
Cl 5.543 -4.774 10.035
Cl 3.082 4.774 1.410
Cl 9.855 5.723 0.461
Cl 2.902 8.164 -1.230
Cl 10.035 3.082 3.851
Cl 4.774 10.035 -3.082
Cl 8.164 1.230 5.723
Cl 1.410 3.082 4.774
Cl 2.902 0.461 7.395
Cl 5.723 8.164 1.230
Cl 7.215 5.543 3.851
Cl 0.461 7.395 2.902
Cl 3.851 -1.410 11.707
Cl -1.410 5.543 4.774
Cl 5.723 0.461 9.855
Cl -1.230 2.902 8.164
Cl 5.543 3.851 7.215
Cl 3.082 13.399 -1.410
Cl 1.230 11.527 0.461
Cl 3.851 7.215 5.543
Cl 0.461 1.230 11.527
Cl 3.851 10.035 3.082
Cl 9.086 7.395 5.723
Cl 1.230 5.723 8.164
Cl 3.082 3.851 10.035
Cl -3.082 4.774 10.035
Cl 7.395 5.723 9.086
Cl -1.410 11.707 3.851
Cl -2.902 8.164 7.395
Cl -4.774 10.035 5.543
Cl 0.461 9.855 5.723
Cl -1.410 3.082 13.399
Cl 5.723 9.086 7.395
```

- Total energy: -2.963 eV per atom
- SG: Ia-3d, No. 230

=====

Calculated volume in A^3/atom, matching the order above: 41.26 35.20 32.99 56.98 34.96 39.69 38.72 32.08
E_form (uncorrected) in eV/atom, matching the order above: -0.8711 -0.9187 -0.8281 0.1865 -1.0345 -0.5434 -0.5941 -1.3735